# 1
## Fe5Au (PBE-GGA)

Data for an optimized crystal structure of Fe5Au.

Cell: 9.1185 3.1176 5.7793 Å, 90.00 108.46 90.00°
Space group C2/m (No. 12)
One atom of each set of equivalent atoms:
Fe: 0.0000 0.0000 0.0000 (multiplicity 2)
Fe: 0.1715 0.5000 0.8501 (multiplicity 4)
Fe: 0.1745 0.5000 0.3209 (multiplicity 4)
Au: 0.0000 0.0000 0.5000 (multiplicity 2)


# 2
## NiAg3 (PBE-GGA)

Data for an optimized crystal structure of NiAg3.

Cell: 2.8925 3.7702 5.9364 Å, 90.00 90.00 90.00°
Space group Pmmm (No. 47)
One atom of each set of equivalent atoms:
Ni: 0.0000 0.0000 0.0000 (multiplicity 1)
Ag: 0.0000 0.0000 0.5000 (multiplicity 1)
Ag: 0.5000 0.5000 0.2324 (multiplicity 2)


# 3
## SiAsOs2 (PBE-GGA)

Data for an optimized crystal structure of SiAsOs2.

Properties
E_form (uncorrected) = 0.4 eV/f.u.

Cell: 2.9048 3.7691 5.2474 Å, 90.00 90.00 90.00°
Space group Pmm2 (No. 25)
One atom of each set of equivalent atoms:
Si: 0.0000 0.0000 0.0000 (multiplicity 1)
As: 0.5000 0.5000 0.3241 (multiplicity 1)
Os: 0.0000 0.0000 0.4897 (multiplicity 1)
Os: 0.5000 0.5000 0.8477 (multiplicity 1)


# 4
## BaNa2TlAs2 (PBE-GGA)

Data for an optimized crystal structure of BaNa2TlAs2.

Cell: 4.7408 8.8822 8.4032 Å, 90.00 90.00 90.00°
Space group Pmc2_1 (No. 26)
One atom of each set of equivalent atoms:
Ba: 0.0000 0.0725 0.0000 (multiplicity 2)
Na: 0.0000 0.3294 0.3882 (multiplicity 2)
Na: 0.5000 0.4258 0.0792 (multiplicity 2)
Tl: 0.5000 0.1991 0.6567 (multiplicity 2)
As: 0.0000 0.3630 0.7560 (multiplicity 2)
As: 0.5000 0.1182 0.2887 (multiplicity 2)


no.,DOS at the Fermi energy (states/eV/f.u.),calculated total energy (eV per formula unit)
1,4.70,-44.97
2,2.55,-13.57
3,2.18,-32.17
4,2.15,-19.46